HgPtBr5: relaxed, PBE.

As for the formation energy (no corrections): -0.31 eV/atom.

Cell: 7.045 7.045 10.463 Å, 105.15 113.62 90.97°
Fractional coordinates of all 14 atoms:
Hg 0.297 0.047 0.750
Hg 0.703 0.953 0.250
Br 0.677 0.619 0.352
Br 0.733 0.175 0.852
Br 0.992 0.242 0.250
Br 0.777 0.234 0.511
Br 0.267 0.825 0.148
Br 0.223 0.766 0.489
Br 0.323 0.381 0.648
Br 0.008 0.758 0.750
Br 0.723 0.766 0.989
Br 0.277 0.234 0.011
Pt 0.000 0.000 0.000
Pt 0.000 0.500 0.500